8
Lattice="4.885 0.000 0.000 0.000 7.706 0.000 0.000 0.000 2.606" Properties=species:S:1:pos:R:3 comment="BeCoTc2 | Alexandria | PBE-GGA | optimized geometry" energy_ev_per_atom=-7.79 relative_energy_kj_per_mol_atoms=15.6 magnetic_moment_mub_per_atom=0.039 pbc="T T T"
Be 0.000 0.000 0.000
Be 2.442 3.853 0.000
Co 0.000 3.853 0.000
Co 2.442 0.000 0.000
Tc 1.221 1.927 1.303
Tc 1.221 5.780 1.303
Tc 3.664 1.927 1.303
Tc 3.664 5.780 1.303